Computed, not measured: a relaxed structure of Ca2FeNi at the PBE level of DFT.

Computed properties:
Magnetic moment: 2.41 μB per formula unit
Polymorph energy (0 for the lowest one): 426 meV per atom
ΔH_f (0 K): 0.5598 eV per atom
Crystal system: monoclinic
Uncorrected energy: -4.002 eV per atom

Cell and atoms, written as CIF:
```
data_Ca2FeNi
_chemical_formula_sum 'Ca4 Fe2 Ni2'
_space_group_name_H-M_alt 'C 1 2/m 1'
_space_group_IT_number 12
_space_group_name_Hall '-C 2y'
_cell_length_a 6.734
_cell_length_b 3.078
_cell_length_c 8.519
_cell_angle_alpha 90.00
_cell_angle_beta 96.49
_cell_angle_gamma 90.00
loop_
_atom_site_label
_atom_site_type_symbol
_atom_site_fract_x
_atom_site_fract_y
_atom_site_fract_z
Ca1 Ca 0.247 0.000 0.227
Fe1 Fe 0.000 0.000 0.500
Ni1 Ni 0.000 0.500 0.000
```

=====

Computed, not measured: a relaxed structure of LiPr4Hg7 at the PBE level of DFT.

Computed properties:
Magnetic moment: 0.00 μB per formula unit
ΔH_f (0 K): -0.3718 eV per atom
Crystal system: monoclinic
Uncorrected energy: -2.301 eV per atom

Cell and atoms, written as CIF:
```
data_LiPr4Hg7
_chemical_formula_sum 'Li2 Pr8 Hg14'
_space_group_name_H-M_alt 'C 1 2/m 1'
_space_group_IT_number 12
_space_group_name_Hall '-C 2y'
_cell_length_a 15.617
_cell_length_b 5.327
_cell_length_c 9.565
_cell_angle_alpha 90.00
_cell_angle_beta 123.81
_cell_angle_gamma 90.00
loop_
_atom_site_label
_atom_site_type_symbol
_atom_site_fract_x
_atom_site_fract_y
_atom_site_fract_z
Li1 Li 0.000 0.000 0.000
Pr1 Pr 0.070 0.500 0.750
Pr2 Pr 0.238 0.500 0.261
Hg1 Hg 0.000 0.500 0.000
Hg2 Hg 0.066 0.000 0.346
Hg3 Hg 0.179 0.500 0.536
Hg4 Hg 0.182 0.000 0.001
```

=====

Computed, not measured: a relaxed structure of CePm6Ge4 at the PBE level of DFT.

Computed properties:
Magnetic moment: 1.56 μB per formula unit
ΔH_f (0 K): -0.4605 eV per atom
Crystal system: tetragonal
Uncorrected energy: -5.270 eV per atom

Cell and atoms, written as CIF:
```
data_CePm6Ge4
_chemical_formula_sum 'Ce2 Pm12 Ge8'
_space_group_name_H-M_alt 'I -4 2 m'
_space_group_IT_number 121
_space_group_name_Hall 'I -4 2'
_cell_length_a 7.768
_cell_length_b 7.768
_cell_length_c 11.135
_cell_angle_alpha 90.00
_cell_angle_beta 90.00
_cell_angle_gamma 90.00
loop_
_atom_site_label
_atom_site_type_symbol
_atom_site_fract_x
_atom_site_fract_y
_atom_site_fract_z
Ce1 Ce 0.000 0.000 0.000
Pm1 Pm 0.000 0.500 0.000
Pm2 Pm 0.155 0.155 0.674
Ge1 Ge 0.222 0.222 0.408
```

=====

Computed, not measured: a relaxed structure of Sm4DyEr6 at the PBE level of DFT.

Computed properties:
Magnetic moment: 0.00 μB per formula unit
Polymorph energy (0 for the lowest one): 157 meV per atom
ΔH_f (0 K): 0.4599 eV per atom
Crystal system: tetragonal
Uncorrected energy: -4.163 eV per atom

Cell and atoms, written as CIF:
```
data_Sm4DyEr6
_chemical_formula_sum 'Sm8 Dy2 Er12'
_space_group_name_H-M_alt 'I -4 2 m'
_space_group_IT_number 121
_space_group_name_Hall 'I -4 2'
_cell_length_a 7.640
_cell_length_b 7.640
_cell_length_c 13.025
_cell_angle_alpha 90.00
_cell_angle_beta 90.00
_cell_angle_gamma 90.00
loop_
_atom_site_label
_atom_site_type_symbol
_atom_site_fract_x
_atom_site_fract_y
_atom_site_fract_z
Sm1 Sm 0.174 0.174 0.424
Dy1 Dy 0.000 0.000 0.000
Er1 Er 0.000 0.500 0.000
Er2 Er 0.244 0.244 0.183
```

=====

Computed, not measured: a relaxed structure of CaZrSe2 at the PBE level of DFT.

Computed properties:
Magnetic moment: 0.00 μB per formula unit
Polymorph energy (0 for the lowest one): 0 meV per atom
Crystal system: monoclinic
Energy relative to the elements, uncorrected: -1.49 eV per atom
Uncorrected energy: -5.868 eV per atom

Cell and atoms, written as CIF:
```
data_CaZrSe2
_chemical_formula_sum 'Ca2 Zr2 Se4'
_space_group_name_H-M_alt 'C 1 2/m 1'
_space_group_IT_number 12
_space_group_name_Hall '-C 2y'
_cell_length_a 6.838
_cell_length_b 3.939
_cell_length_c 7.165
_cell_angle_alpha 90.00
_cell_angle_beta 108.46
_cell_angle_gamma 90.00
loop_
_atom_site_label
_atom_site_type_symbol
_atom_site_fract_x
_atom_site_fract_y
_atom_site_fract_z
Ca1 Ca 0.000 0.000 0.000
Zr1 Zr 0.000 0.500 0.500
Se1 Se 0.246 0.000 0.737
```

=====

Computed, not measured: a relaxed structure of Sc2TcSb at the PBE level of DFT.

Computed properties:
Magnetic moment: 1.62 μB per formula unit
Crystal system: tetragonal
Energy relative to the elements, uncorrected: -0.22 eV per atom
Uncorrected energy: -7.011 eV per atom

Cell and atoms, written as CIF:
```
data_Sc2TcSb
_chemical_formula_sum 'Sc2 Tc1 Sb1'
_space_group_name_H-M_alt 'P 4 m m'
_space_group_IT_number 99
_space_group_name_Hall 'P 4 -2'
_cell_length_a 3.377
_cell_length_b 3.377
_cell_length_c 7.213
_cell_angle_alpha 90.00
_cell_angle_beta 90.00
_cell_angle_gamma 90.00
loop_
_atom_site_label
_atom_site_type_symbol
_atom_site_fract_x
_atom_site_fract_y
_atom_site_fract_z
Sc1 Sc 0.000 0.000 0.000
Sc2 Sc 0.500 0.500 0.311
Tc1 Tc 0.000 0.000 0.540
Sb1 Sb 0.500 0.500 0.730
```

=====

Computed, not measured: a relaxed structure of Zr3Au5 at the PBE level of DFT.

Computed properties:
Magnetic moment: 0.00 μB per formula unit
ΔH_f (0 K): -0.4265 eV per atom
Crystal system: monoclinic
Uncorrected energy: -5.680 eV per atom

Cell and atoms, written as CIF:
```
data_Zr3Au5
_chemical_formula_sum 'Zr12 Au20'
_space_group_name_H-M_alt 'C 1 m 1'
_space_group_IT_number 8
_space_group_name_Hall 'C -2y'
_cell_length_a 5.501
_cell_length_b 15.386
_cell_length_c 7.732
_cell_angle_alpha 90.00
_cell_angle_beta 103.93
_cell_angle_gamma 90.00
loop_
_atom_site_label
_atom_site_type_symbol
_atom_site_fract_x
_atom_site_fract_y
_atom_site_fract_z
Zr1 Zr 0.000 0.000 0.000
Zr2 Zr 0.046 0.500 0.627
Zr3 Zr 0.209 0.268 0.713
Zr4 Zr 0.290 0.335 0.304
Au1 Au 0.007 0.500 0.240
Au2 Au 0.027 0.391 0.938
Au3 Au 0.038 0.000 0.362
Au4 Au 0.047 0.092 0.683
Au5 Au 0.107 0.194 0.045
Au6 Au 0.341 0.155 0.423
```

=====

Computed, not measured: a relaxed structure of LaF2 at the PBE level of DFT.

Computed properties:
Magnetic moment: 1.00 μB per formula unit
Crystal system: cubic
Energy relative to the elements, uncorrected: -3.50 eV per atom
Uncorrected energy: -6.385 eV per atom

Cell and atoms, written as CIF:
```
data_LaF2
_chemical_formula_sum 'La4 F8'
_space_group_name_H-M_alt 'F m -3 m'
_space_group_IT_number 225
_space_group_name_Hall '-F 4 2 3'
_cell_length_a 5.921
_cell_length_b 5.921
_cell_length_c 5.921
_cell_angle_alpha 90.00
_cell_angle_beta 90.00
_cell_angle_gamma 90.00
loop_
_atom_site_label
_atom_site_type_symbol
_atom_site_fract_x
_atom_site_fract_y
_atom_site_fract_z
La1 La 0.000 0.000 0.000
F1 F 0.250 0.250 0.250
```

=====

Copy entry 1 word for word.
Computed, not measured: a relaxed structure of Ca2FeNi at the PBE level of DFT.

Computed properties:
Magnetic moment: 2.41 μB per formula unit
Polymorph energy (0 for the lowest one): 426 meV per atom
ΔH_f (0 K): 0.5598 eV per atom
Crystal system: monoclinic
Uncorrected energy: -4.002 eV per atom

Cell and atoms, written as CIF:
```
data_Ca2FeNi
_chemical_formula_sum 'Ca4 Fe2 Ni2'
_space_group_name_H-M_alt 'C 1 2/m 1'
_space_group_IT_number 12
_space_group_name_Hall '-C 2y'
_cell_length_a 6.734
_cell_length_b 3.078
_cell_length_c 8.519
_cell_angle_alpha 90.00
_cell_angle_beta 96.49
_cell_angle_gamma 90.00
loop_
_atom_site_label
_atom_site_type_symbol
_atom_site_fract_x
_atom_site_fract_y
_atom_site_fract_z
Ca1 Ca 0.247 0.000 0.227
Fe1 Fe 0.000 0.000 0.500
Ni1 Ni 0.000 0.500 0.000
```

=====

Which of these has the highest uncorrected energy? LiPr4Hg7